No. 1
Computed, not measured: crystalline KBa2Sb at its relaxed geometry at the PBE-GGA level of DFT.

Results
Fermi-level density of states   3.0 states/eV per cell
Total DFT energy (no corrections)   -2.832 eV/atom
Calculated volume   252.9 Å³ per cell
Energy relative to the elements, uncorrected   -0.57 eV/atom

Unit cell a=11.7976 b=11.7976 c=11.7976 alpha=24.74 beta=24.74 gamma=24.74
Last column: nearest neighbours and their distance in Å.
Atoms (fractional coordinates):
K 0.0000 0.0000 0.0000  6 Ba 4.83-4.88, 6 K 5.05
Ba 0.2212 0.2212 0.2212  3 Sb 3.45
Ba 0.4473 0.4473 0.4473  3 Sb 3.45
Sb 0.8345 0.8345 0.8345  6 Ba 3.45


No. 2
Computed, not measured: crystalline K2BaSb at its relaxed geometry at the PBE-GGA level of DFT.

Results
Fermi-level density of states   2.0 states/eV per cell
Total DFT energy (no corrections)   -2.512 eV/atom
Calculated volume   233.7 Å³ per cell
Energy relative to the elements, uncorrected   -0.45 eV/atom

Unit cell a=5.0872 b=4.7253 c=10.0489 alpha=90.00 beta=104.62 gamma=90.00
Last column: nearest neighbours and their distance in Å.
Atoms (fractional coordinates):
K 0.0000 0.0000 0.0000  1 Sb 3.54
K 0.3196 0.5000 0.6439  2 Sb 3.60
Ba 0.6507 0.5000 0.3063  4 Sb 3.52
Sb 0.1796 0.0000 0.3643  4 Ba 3.52, 3 K 3.54-3.60


No. 3
Computed, not measured: crystalline KBa2Sb at its relaxed geometry at the PBE-GGA level of DFT.

Results
Fermi-level density of states   2.6 states/eV per cell
Total DFT energy (no corrections)   -2.662 eV/atom
Calculated volume   216.0 Å³ per cell
Energy relative to the elements, uncorrected   -0.40 eV/atom

Unit cell a=4.8573 b=4.8573 c=9.1546 alpha=90.00 beta=90.00 gamma=90.00
Last column: nearest neighbours and their distance in Å.
Atoms (fractional coordinates):
K 0.0000 0.0000 0.0000  1 Ba 3.56
Ba 0.0000 0.0000 0.3884  4 Sb 3.54, 1 K 3.56
Ba 0.5000 0.5000 0.6675  1 Sb 3.42
Sb 0.5000 0.5000 0.2943  5 Ba 3.42-3.54


No. 4
Computed, not measured: crystalline KBaSb4 at its relaxed geometry at the PBE-GGA level of DFT.

Results
Fermi-level density of states   1.3 states/eV per cell
Offset from the most stable computed form   62.5 meV per atom
Total DFT energy (no corrections)   -3.624 eV/atom
Calculated volume   248.4 Å³ per cell
Energy relative to the elements, uncorrected   -0.37 eV/atom

Unit cell a=6.6607 b=5.3484 c=7.7206 alpha=90.00 beta=115.42 gamma=90.00
Last column: nearest neighbours and their distance in Å.
Atoms (fractional coordinates):
K 0.0000 0.0000 0.0000  8 Sb 3.48-3.81
Ba 0.0000 0.5000 0.5000  8 Sb 3.52-3.83
Sb 0.4153 0.5000 0.2916  3 Sb 2.92-3.05
Sb 0.4219 0.0000 0.7894  3 Sb 2.96-3.05
Sb 0.5781 0.0000 0.2106  3 Sb 2.96-3.05
Sb 0.5847 0.5000 0.7084  3 Sb 2.92-3.05


No. 5
Computed, not measured: crystalline KBaSb3 at its relaxed geometry at the PBE-GGA level of DFT.

Results
Fermi-level density of states   3.7 states/eV per cell
Offset from the most stable computed form   15.6 meV per atom
Total DFT energy (no corrections)   -2.719 eV/atom
Calculated volume   257.5 Å³ per cell
Energy relative to the elements, uncorrected   0.36 eV/atom

Unit cell a=6.3617 b=6.3617 c=6.3617 alpha=90.00 beta=90.00 gamma=90.00
Last column: nearest neighbours and their distance in Å.
Atoms (fractional coordinates):
K 0.0000 0.0000 0.0000  12 Sb 4.50
Ba 0.5000 0.5000 0.5000  6 Sb 3.18
Sb 0.0000 0.5000 0.5000  2 Ba 3.18
Sb 0.5000 0.0000 0.5000  2 Ba 3.18
Sb 0.5000 0.5000 0.0000  2 Ba 3.18


No. 6
Computed, not measured: crystalline K2BaSb at its relaxed geometry at the PBE-GGA level of DFT.

Results
Fermi-level density of states   1.2 states/eV per cell
Total DFT energy (no corrections)   -2.466 eV/atom
Calculated volume   169.1 Å³ per cell
Energy relative to the elements, uncorrected   -0.41 eV/atom

Unit cell a=5.2566 b=5.2566 c=6.1196 alpha=90.00 beta=90.00 gamma=90.00
Last column: nearest neighbours and their distance in Å.
Atoms (fractional coordinates):
K 0.0000 0.5000 0.0000  4 K 3.72, 4 Ba 4.03, 4 Sb 4.03
K 0.5000 0.0000 0.0000  4 K 3.72, 4 Ba 4.03, 4 Sb 4.03
Ba 0.0000 0.0000 0.5000  4 Sb 3.72, 8 K 4.03
Sb 0.5000 0.5000 0.5000  4 Ba 3.72, 8 K 4.03


No. 7
Computed, not measured: crystalline KBa2Sb at its relaxed geometry at the PBE-GGA level of DFT.

Results
Fermi-level density of states   7.0 states/eV per cell
Total DFT energy (no corrections)   -2.637 eV/atom
Calculated volume   453.6 Å³ per cell
Energy relative to the elements, uncorrected   -0.37 eV/atom

Unit cell a=8.4871 b=8.4871 c=8.4871 alpha=103.62 beta=103.62 gamma=121.95
Last column: nearest neighbours and their distance in Å.
Atoms (fractional coordinates):
K 0.0000 0.0000 0.0000  2 Sb 4.12, 8 Ba 4.41-4.46
K 0.7500 0.2500 0.5000  2 Sb 4.12, 8 Ba 4.41-4.46
Ba 0.1976 0.6250 0.0726  2 Sb 3.38
Ba 0.3750 0.4476 0.5726  2 Sb 3.38
Ba 0.5524 0.1250 0.9274  2 Sb 3.38
Ba 0.8750 0.8024 0.4274  2 Sb 3.38
Sb 0.2500 0.7500 0.5000  4 Ba 3.38
Sb 0.5000 0.5000 0.0000  4 Ba 3.38


No. 8
Computed, not measured: crystalline KBa3Sb at its relaxed geometry at the PBE-GGA level of DFT.

Results
Fermi-level density of states   5.7 states/eV per cell
Offset from the most stable computed form   936.8 meV per atom
Total DFT energy (no corrections)   -1.655 eV/atom
Calculated volume   271.6 Å³ per cell
Energy relative to the elements, uncorrected   0.54 eV/atom

Unit cell a=6.4762 b=6.4762 c=6.4762 alpha=90.00 beta=90.00 gamma=90.00
Last column: nearest neighbours and their distance in Å.
Atoms (fractional coordinates):
K 0.0000 0.0000 0.0000  6 Ba 3.24
Ba 0.0000 0.0000 0.5000  2 K 3.24
Ba 0.0000 0.5000 0.0000  2 K 3.24
Ba 0.5000 0.0000 0.0000  2 K 3.24
Sb 0.5000 0.5000 0.5000  12 Ba 4.58


Look up the calculated volume of the first one.
252.9 Å³ per cell


Which formula does entry 8 have?
KBa3Sb